1.
VASP calculation (PBE) on SmThBe after structural relaxation.

It has space group Cmcm (No. 63), with a = 3.878 Å, b = 21.086 Å, c = 3.798 Å, α = 90.00°, β = 90.00° and γ = 90.00°. The distinct sites, in fractional coordinates, are Sm at (0.000, 0.190, 0.250), Th at (0.000, 0.422, 0.250) and Be at (0.000, 0.026, 0.250).

Its uncorrected energy is -15.55 eV per formula unit. For the density of states at the Fermi level, the calculation gives 15.9 states/eV per cell. The relative energy among the computed polymorphs is 0 meV per atom. The calculation puts the size of the total moment at 0.00 μB per formula unit.

=====

2.
VASP calculation (PBE) on Tl2Ge2Rh after structural relaxation.

It has space group P4/mbm (No. 127), with a = 6.492 Å, b = 6.492 Å, c = 5.317 Å, α = 90.00°, β = 90.00° and γ = 90.00°. The distinct sites, in fractional coordinates, are Tl at (0.189, 0.311, 0.000), Ge at (0.145, 0.645, 0.500) and Rh at (0.000, 0.000, 0.500).

Its uncorrected energy is -21.15 eV per formula unit. For the density of states at the Fermi level, the calculation gives 7.9 states/eV per cell. The calculation puts the size of the total moment at 0.00 μB per formula unit.